Here is crystalline Tb3Te2C at its relaxed geometry from Alexandria. Energies are from GGA-PBE.

It has space group C2/c (No. 15), with a = 13.738 Å, b = 5.974 Å, c = 7.771 Å, α = 90.00°, β = 106.37° and γ = 90.00°. The asymmetric unit holds Tb at (0.000, 0.048, 0.250), Tb at (0.123, 0.499, 0.562), Te at (0.179, 0.001, 0.090) and C at (0.000, 0.463, 0.250).

The calculation puts the polymorph energy (0 for the lowest one) at 0.000 eV per atom. The calculation puts the energy relative to the elements, uncorrected at -568 kJ/mol of formula units. The magnetic moment comes out at 0.0 μB per formula unit. The energy comes out at -5.8807 eV per atom.



Here is crystalline Tb6Te2C at its relaxed geometry from Alexandria. Energies are from GGA-PBE.

It has space group P2_1/c (No. 14), with a = 6.467 Å, b = 7.672 Å, c = 11.496 Å, α = 90.00°, β = 121.66° and γ = 90.00°. The asymmetric unit holds Tb at (0.129, 0.021, 0.247), Tb at (0.182, 0.706, 0.043), Tb at (0.364, 0.171, 0.036), Te at (0.327, 0.110, 0.749) and C at (0.000, 0.000, 0.000).

The calculation puts the energy relative to the elements, uncorrected at -570 kJ/mol of formula units. The magnetic moment comes out at 0.0 μB per formula unit. The energy comes out at -5.4664 eV per atom.



Here is crystalline Tb2TeC at its relaxed geometry from Alexandria. Energies are from GGA-PBE.

It has space group R3m (No. 160, hexagonal axes), with a = 3.8343 Å, b = 3.8343 Å, c = 21.4233 Å, α = 90.00°, β = 90.00° and γ = 120.00°. The asymmetric unit holds Tb at (0.0000, 0.0000, 0.0000), Tb at (0.0000, 0.0000, 0.2090), Te at (0.0000, 0.0000, 0.7714) and C at (0.0000, 0.0000, 0.6033).

The calculation puts the energy relative to the elements, uncorrected at -317 kJ/mol of formula units. The magnetic moment comes out at 0.0 μB per formula unit. The energy comes out at -6.2272 eV per atom.



Here is crystalline Tb3TeC at its relaxed geometry from Alexandria. Energies are from GGA-PBE.

It has space group Cmc2_1 (No. 36), with a = 3.790 Å, b = 19.405 Å, c = 7.418 Å, α = 90.00°, β = 90.00° and γ = 90.00°. The asymmetric unit holds Tb at (0.000, 0.077, 0.000), Tb at (0.000, 0.265, 0.601), Tb at (0.000, 0.400, 0.881), Te at (0.000, 0.346, 0.253) and C at (0.000, 0.158, 0.236).

The calculation puts the polymorph energy (0 for the lowest one) at 0.083 eV per atom. The calculation puts the energy relative to the elements, uncorrected at -242 kJ/mol of formula units. The magnetic moment comes out at 0.0 μB per formula unit. The energy comes out at -5.7519 eV per atom.



Here is crystalline Tb8TeC4 at its relaxed geometry from Alexandria. Energies are from GGA-PBE.

It has space group F-43m (No. 216), with a = 10.929 Å, b = 10.929 Å, c = 10.929 Å, α = 90.00°, β = 90.00° and γ = 90.00°. The asymmetric unit holds Tb at (0.102, 0.102, 0.398), Tb at (0.141, 0.141, 0.859), Te at (0.250, 0.250, 0.250) and C at (0.128, 0.128, 0.628).

The calculation puts the energy relative to the elements, uncorrected at -303 kJ/mol of formula units. The magnetic moment comes out at 0.0 μB per formula unit. The energy comes out at -6.1709 eV per atom.



Here is crystalline Tb4Te3C2 at its relaxed geometry from Alexandria. Energies are from GGA-PBE.

It has space group C2/c (No. 15), with a = 13.562 Å, b = 11.147 Å, c = 6.005 Å, α = 90.00°, β = 98.80° and γ = 90.00°. The asymmetric unit holds Tb at (0.150, 0.162, 0.472), Tb at (0.158, 0.410, 0.903), Te at (0.000, 0.383, 0.250), Te at (0.115, 0.127, 0.963) and C at (0.179, 0.380, 0.506).

The calculation puts the energy relative to the elements, uncorrected at -654 kJ/mol of formula units. The magnetic moment comes out at 0.0 μB per formula unit. The energy comes out at -5.9076 eV per atom.



Here is crystalline Tb2TeC2 at its relaxed geometry from Alexandria. Energies are from GGA-PBE.

It has space group C2/c (No. 15), with a = 14.215 Å, b = 4.167 Å, c = 7.061 Å, α = 90.00°, β = 101.70° and γ = 90.00°. The asymmetric unit holds Tb at (0.153, 0.180, 0.139), Te at (0.000, 0.299, 0.750) and C at (0.230, 0.373, 0.536).

The calculation puts the energy relative to the elements, uncorrected at -354 kJ/mol of formula units. The magnetic moment comes out at 0.0 μB per formula unit. The energy comes out at -6.9032 eV per atom.



Here is crystalline Tb6TeC3 at its relaxed geometry from Alexandria. Energies are from GGA-PBE.

It has space group P2_1/m (No. 11), with a = 11.182 Å, b = 3.703 Å, c = 11.321 Å, α = 90.00°, β = 108.37° and γ = 90.00°. The asymmetric unit holds Tb at (0.037, 0.250, 0.378), Tb at (0.154, 0.750, 0.132), Tb at (0.256, 0.250, 0.666), Tb at (0.317, 0.750, 0.431), Tb at (0.368, 0.750, 0.947), Tb at (0.454, 0.250, 0.242), Te at (0.119, 0.250, 0.875), C at (0.150, 0.750, 0.528), C at (0.242, 0.250, 0.275) and C at (0.459, 0.250, 0.856).

The calculation puts the energy relative to the elements, uncorrected at -454 kJ/mol of formula units. The magnetic moment comes out at 0.5 μB per formula unit. The energy comes out at -6.3300 eV per atom.



Here is crystalline Tb2TeC at its relaxed geometry from Alexandria. Energies are from GGA-PBE.

It has space group R-3m (No. 166, hexagonal axes), with a = 3.8535 Å, b = 3.8535 Å, c = 21.1813 Å, α = 90.00°, β = 90.00° and γ = 120.00°. The asymmetric unit holds Tb at (0.0000, 0.0000, 0.2293), Te at (0.0000, 0.0000, 0.0000) and C at (0.0000, 0.0000, 0.5000).

The calculation puts the energy relative to the elements, uncorrected at -330 kJ/mol of formula units. The magnetic moment comes out at 0.0 μB per formula unit. The energy comes out at -6.2619 eV per atom.



Here is crystalline Tb5Te5C2 at its relaxed geometry from Alexandria. Energies are from GGA-PBE.

It has space group C2/m (No. 12), with a = 14.325 Å, b = 4.032 Å, c = 10.927 Å, α = 90.00°, β = 99.52° and γ = 90.00°. The asymmetric unit holds Tb at (0.000, 0.000, 0.000), Tb at (0.093, 0.000, 0.330), Tb at (0.136, 0.500, 0.794), Te at (0.000, 0.500, 0.500), Te at (0.161, 0.500, 0.093), Te at (0.232, 0.000, 0.612) and C at (0.049, 0.000, 0.806).

The calculation puts the energy relative to the elements, uncorrected at -892 kJ/mol of formula units. The magnetic moment comes out at 0.0 μB per formula unit. The energy comes out at -5.5457 eV per atom.



Here is crystalline Tb3Te2C2 at its relaxed geometry from Alexandria. Energies are from GGA-PBE.

It has space group P2_1/c (No. 14), with a = 6.401 Å, b = 7.548 Å, c = 7.668 Å, α = 90.00°, β = 114.29° and γ = 90.00°. The asymmetric unit holds Tb at (0.000, 0.000, 0.000), Tb at (0.398, 0.127, 0.767), Te at (0.188, 0.643, 0.915) and C at (0.348, 0.113, 0.064).

The calculation puts the energy relative to the elements, uncorrected at -246 kJ/mol of formula units. The magnetic moment comes out at 0.0 μB per formula unit. The energy comes out at -5.8811 eV per atom.



Here is crystalline Tb3TeC at its relaxed geometry from Alexandria. Energies are from GGA-PBE.

It has space group Pm-3m (No. 221), with a = 4.922 Å, b = 4.922 Å, c = 4.922 Å, α = 90.00°, β = 90.00° and γ = 90.00°. The asymmetric unit holds Tb at (0.000, 0.000, 0.500), Te at (0.500, 0.500, 0.500) and C at (0.000, 0.000, 0.000).

The calculation puts the polymorph energy (0 for the lowest one) at 0.066 eV per atom. The calculation puts the energy relative to the elements, uncorrected at -250 kJ/mol of formula units. The magnetic moment comes out at 0.0 μB per formula unit. The energy comes out at -5.7685 eV per atom.